# NaCdTe2I (GGA-PBE, relaxed)
data_NaCdTe2I
_chemical_formula_sum 'Na1 Cd1 Te2 I1'
_symmetry_space_group_name_H-M 'P 4/m m m'
_symmetry_Int_Tables_number 123
_symmetry_space_group_name_Hall '-P 4 2'
_cell_length_a 5.6593
_cell_length_b 5.6593
_cell_length_c 5.7481
_cell_angle_alpha 90.00
_cell_angle_beta 90.00
_cell_angle_gamma 90.00
loop_
_atom_site_label
_atom_site_fract_x
_atom_site_fract_y
_atom_site_fract_z
_atom_site_occupancy
Na1 0.0000 0.0000 0.0000 1
Cd1 0.5000 0.5000 0.5000 1
Te1 0.0000 0.5000 0.0000 1
I1 0.0000 0.0000 0.5000 1
# DOS at the Fermi energy: 7.83 states/eV per cell
# final energy: -1.68 eV/atom
# formation energy from raw total energies: 328.6 meV/atom
# excess energy over the best structure of this formula in the dataset: 450 meV/atom

=====

# NaTi2CdI (GGA-PBE, relaxed)
data_NaTi2CdI
_chemical_formula_sum 'Na1 Ti2 Cd1 I1'
_symmetry_space_group_name_H-M 'P 4/m m m'
_symmetry_Int_Tables_number 123
_symmetry_space_group_name_Hall '-P 4 2'
_cell_length_a 5.0605
_cell_length_b 5.0605
_cell_length_c 5.4270
_cell_angle_alpha 90.00
_cell_angle_beta 90.00
_cell_angle_gamma 90.00
loop_
_atom_site_label
_atom_site_fract_x
_atom_site_fract_y
_atom_site_fract_z
_atom_site_occupancy
Na1 0.0000 0.0000 0.0000 1
Ti1 0.0000 0.5000 0.5000 1
Cd1 0.5000 0.5000 0.0000 1
I1 0.0000 0.0000 0.5000 1
# DOS at the Fermi energy: 5.08 states/eV per cell
# final energy: -3.14 eV/atom
# formation energy from raw total energies: 774.8 meV/atom

=====

# Na3Tl3CdI8 (GGA-PBE, relaxed)
data_Na3Tl3CdI8
_chemical_formula_sum 'Na9 Tl9 Cd3 I24'
_symmetry_space_group_name_H-M 'R -3 m'
_symmetry_Int_Tables_number 166
_symmetry_space_group_name_Hall '-R 3 2"'
_cell_length_a 9.3651
_cell_length_b 9.3651
_cell_length_c 24.5007
_cell_angle_alpha 90.00
_cell_angle_beta 90.00
_cell_angle_gamma 120.00
loop_
_atom_site_label
_atom_site_fract_x
_atom_site_fract_y
_atom_site_fract_z
_atom_site_occupancy
Na1 0.0000 0.5000 0.0000 1
Tl1 0.0000 0.5000 0.5000 1
Cd1 0.0000 0.0000 0.0000 1
I1 0.0000 0.0000 0.2592 1
I2 0.0204 0.5102 0.7369 1
# DOS at the Fermi energy: 0.00 states/eV per cell
# final energy: -2.50 eV/atom
# formation energy from raw total energies: -873.6 meV/atom

=====

# Na2TlCdI6 (GGA-PBE, relaxed)
data_Na2TlCdI6
_chemical_formula_sum 'Na8 Tl4 Cd4 I24'
_symmetry_space_group_name_H-M 'C 1 2/c 1'
_symmetry_Int_Tables_number 15
_cell_length_a 15.8342
_cell_length_b 17.4256
_cell_length_c 6.9441
_cell_angle_alpha 90.00
_cell_angle_beta 96.84
_cell_angle_gamma 90.00
loop_
_symmetry_equiv_pos_as_xyz
'x,y,z'
'-x,-y,-z'
'-x,y,-z+1/2'
'x,-y,z+1/2'
'x+1/2,y+1/2,z'
'-x+1/2,-y+1/2,-z'
'-x+1/2,y+1/2,-z+1/2'
'x+1/2,-y+1/2,z+1/2'
loop_
_atom_site_label
_atom_site_fract_x
_atom_site_fract_y
_atom_site_fract_z
_atom_site_occupancy
Na1 0.2308 0.1189 0.4646 1
Tl1 0.0000 0.4221 0.7500 1
Cd1 0.0000 0.3188 0.2500 1
I1 0.1028 0.2541 0.5698 1
I2 0.1288 0.0071 0.1658 1
I3 0.1340 0.4198 0.1590 1
# DOS at the Fermi energy: 7.55 states/eV per cell
# final energy: -2.23 eV/atom
# formation energy from raw total energies: -710.3 meV/atom

=====

What did the second record say?
# NaTi2CdI (GGA-PBE, relaxed)
data_NaTi2CdI
_chemical_formula_sum 'Na1 Ti2 Cd1 I1'
_symmetry_space_group_name_H-M 'P 4/m m m'
_symmetry_Int_Tables_number 123
_symmetry_space_group_name_Hall '-P 4 2'
_cell_length_a 5.0605
_cell_length_b 5.0605
_cell_length_c 5.4270
_cell_angle_alpha 90.00
_cell_angle_beta 90.00
_cell_angle_gamma 90.00
loop_
_atom_site_label
_atom_site_fract_x
_atom_site_fract_y
_atom_site_fract_z
_atom_site_occupancy
Na1 0.0000 0.0000 0.0000 1
Ti1 0.0000 0.5000 0.5000 1
Cd1 0.5000 0.5000 0.0000 1
I1 0.0000 0.0000 0.5000 1
# DOS at the Fermi energy: 5.08 states/eV per cell
# final energy: -3.14 eV/atom
# formation energy from raw total energies: 774.8 meV/atom

=====

What is the formation energy from raw total energies in the first record? 328.6 meV/atom

=====

Look up the formation energy from raw total energies of the fourth one. -710.3 meV/atom